No. 1
# CaMoIN2

A relaxed CaMoIN2 crystal (PBE, Alexandria via LeMat-Bulk).

```
5
Lattice="-0.861 -1.161 4.301 -3.363 -2.703 -1.403 4.199 -4.965 -0.499" Properties=species:S:1:pos:R:3 pbc="T T T"
I 2.099 -2.483 -0.250
Mo -0.013 -4.414 1.199
Ca 0.000 0.000 0.000
N -1.682 -1.351 -0.702
N -0.431 -0.580 2.150
```

Results
formation energy from raw total energies	1.79	eV per atom
DOS(E_F)	4.46	states/eV/f.u.
excess energy over the best structure of this formula in the dataset	163.76	kJ per mole of atoms
SG	No. 123

---

No. 2
# CaMoIN2

A relaxed CaMoIN2 crystal (PBE, Alexandria via LeMat-Bulk).

```
5
Lattice="4.086 0.000 0.000 0.000 4.086 0.000 0.000 0.000 5.606" Properties=species:S:1:pos:R:3 pbc="T T T"
I 0.000 0.000 2.803
Mo 0.000 0.000 0.000
Ca 2.043 2.043 2.803
N 0.000 2.043 0.000
N 2.043 0.000 0.000
```

Results
formation energy from raw total energies	0.09	eV per atom
DOS(E_F)	1.86	states/eV/f.u.
excess energy over the best structure of this formula in the dataset	0.00	kJ per mole of atoms
SG	No. 123

---

No. 3
# CaMoI2N

A relaxed CaMoI2N crystal (PBE, Alexandria via LeMat-Bulk).

```
5
Lattice="5.709 0.000 0.000 0.000 5.709 0.000 0.000 0.000 3.887" Properties=species:S:1:pos:R:3 pbc="T T T"
I 0.000 2.855 0.000
I 2.855 0.000 0.000
Mo 0.000 0.000 0.000
Ca 2.855 2.855 1.943
N 0.000 0.000 1.943
```

Results
formation energy from raw total energies	-0.19	eV per atom
DOS(E_F)	2.77	states/eV/f.u.
excess energy over the best structure of this formula in the dataset	0.00	kJ per mole of atoms
SG	No. 123